Entry from Alexandria via LeMat-Bulk: a geometry-optimized Ac4Cr3O10 structure (GGA+U). Values from VASP.

Geometry as Quantum ESPRESSO input:
```
&SYSTEM
  ibrav = 0, nat = 17, ntyp = 3
/
ATOMIC_SPECIES
Ac 227.00 Ac.upf
Cr 52.00 Cr.upf
O 16.00 O.upf
ATOMIC_POSITIONS crystal
Ac 0.067 0.067 0.000
Ac 0.199 0.199 0.000
Ac 0.801 0.801 0.000
Ac 0.933 0.933 0.000
Cr 0.361 0.361 0.000
Cr 0.500 0.500 0.000
Cr 0.639 0.639 0.000
O 0.000 0.500 0.500
O 0.140 0.640 0.500
O 0.284 0.284 0.000
O 0.360 0.860 0.500
O 0.430 0.430 0.000
O 0.500 0.000 0.500
O 0.570 0.570 0.000
O 0.640 0.140 0.500
O 0.716 0.716 0.000
O 0.860 0.360 0.500
CELL_PARAMETERS angstrom
-2.001 2.001 14.695
2.001 -2.001 14.695
2.001 2.001 -14.695
```

Results
Magnetic moment, μB/cell: 9.99
E, eV per atom: -7.952